Record 1
A plane-wave DFT calculation with GGA-PBE was carried out for a geometry-optimized NiRuBr structure.

```
NiRuBr
1.0
3.0497 0.0000 0.0000
-1.5248 2.6411 0.0000
0.0000 0.0000 5.7942
Ni Ru Br
1 1 1
Cartesian
0.0000 0.0000 0.0000
1.5248 0.8804 1.7863
0.0000 1.7607 3.8545
```

Computed properties:
**Total DFT energy (no corrections)**: -4.914 eV/atom
**D(E_F)**: 1.26 states/eV/atom
**Magnetization**: 0.6 Bohr magnetons per cell
**ΔE to the lowest computed polymorph**: 0.00 eV per formula unit



Record 2
A plane-wave DFT calculation with GGA-PBE was carried out for a geometry-optimized NaGaI4 structure.

```
NaGaI4
1.0
-3.6103 3.6103 5.6876
3.6103 -3.6103 5.6876
3.6103 3.6103 -5.6876
Na Ga I
1 1 4
Cartesian
0.0000 0.0000 0.0000
0.0000 3.6103 2.8438
4.9511 1.6782 -1.3888
1.6782 2.2695 1.3888
-1.3408 1.9321 4.2988
1.9321 1.3408 7.0764
```

Computed properties:
**Total DFT energy (no corrections)**: -2.512 eV/atom
**D(E_F)**: 0.00 states/eV/atom
**Magnetization**: 0.0 Bohr magnetons per cell